[1]
The following is a DFT calculation (PBE) of an optimized crystal structure of MgZr2PdO. Values from VASP.

Properties
* calculated total energy: -6.93 eV/atom
* space group: P4/mmm (123)
* M_tot: 0.0 μB per cell
* formation energy without anion corrections: -1166 meV per atom
* mass density: 6.57 g/cm3

Structure (Quantum ESPRESSO input):
```
&SYSTEM
  ibrav = 0, nat = 5, ntyp = 4
/
ATOMIC_SPECIES
O 16.00 O.upf
Mg 24.30 Mg.upf
Zr 91.22 Zr.upf
Pd 106.42 Pd.upf
CELL_PARAMETERS angstrom
-0.079 2.376 3.754
-3.152 -2.676 1.627
2.968 -2.496 1.643
ATOMIC_POSITIONS crystal
O 0.000 0.000 0.000
Mg 0.000 0.000 0.500
Zr 0.000 0.500 0.000
Zr 0.500 0.000 0.000
Pd 0.500 0.500 0.500
```



[2]
The following is a DFT calculation (PBE) of an optimized crystal structure of Mg2ZrPdO. Values from VASP.

Properties
* calculated total energy: -5.54 eV/atom
* space group: P4/mmm (123)
* M_tot: 0.0 μB per cell
* formation energy without anion corrections: -1165 meV per atom
* mass density: 5.56 g/cm3

Structure (Quantum ESPRESSO input):
```
&SYSTEM
  ibrav = 0, nat = 5, ntyp = 4
/
ATOMIC_SPECIES
O 16.00 O.upf
Mg 24.30 Mg.upf
Zr 91.22 Zr.upf
Pd 106.42 Pd.upf
CELL_PARAMETERS angstrom
4.127 0.000 0.000
0.000 4.127 0.000
0.000 0.000 4.595
ATOMIC_POSITIONS crystal
O 0.000 0.000 0.000
Mg 0.000 0.500 0.000
Mg 0.500 0.000 0.000
Zr 0.000 0.000 0.500
Pd 0.500 0.500 0.500
```



[3]
The following is a DFT calculation (PBE) of an optimized crystal structure of Pm3MgO. Values from VASP.

Properties
* calculated total energy: -5.35 eV/atom
* space group: Pm-3m (221)
* M_tot: 0.0 μB per cell
* formation energy without anion corrections: -1188 meV per atom
* mass density: 6.39 g/cm3

Structure (Quantum ESPRESSO input):
```
&SYSTEM
  ibrav = 0, nat = 5, ntyp = 3
/
ATOMIC_SPECIES
Mg 24.30 Mg.upf
O 16.00 O.upf
Pm 145.00 Pm.upf
CELL_PARAMETERS angstrom
-4.234 2.623 -0.044
-0.759 -1.305 -4.746
-2.511 -4.028 1.509
ATOMIC_POSITIONS crystal
Mg 0.500 0.500 0.500
O 0.000 0.000 0.000
Pm 0.000 0.500 0.000
Pm 0.000 0.000 0.500
Pm 0.500 0.000 0.000
```



[4]
The following is a DFT calculation (PBE) of an optimized crystal structure of PmMgO. Values from VASP.

Properties
* calculated total energy: -5.49 eV/atom
* space group: R-3m (166)
* M_tot: 0.0 μB per cell
* formation energy without anion corrections: -1721 meV per atom
* mass density: 4.27 g/cm3

Structure (Quantum ESPRESSO input):
```
&SYSTEM
  ibrav = 0, nat = 6, ntyp = 3
/
ATOMIC_SPECIES
O 16.00 O.upf
Mg 24.30 Mg.upf
Pm 145.00 Pm.upf
CELL_PARAMETERS angstrom
3.806 0.000 0.000
1.903 3.296 0.000
1.903 1.099 11.489
ATOMIC_POSITIONS crystal
O 0.307 0.307 0.078
O 0.693 0.693 0.922
Mg 0.202 0.202 0.394
Mg 0.798 0.798 0.606
Pm 0.378 0.378 0.865
Pm 0.622 0.622 0.135
```



[5]
The following is a DFT calculation (PBE) of an optimized crystal structure of Pm4Mg2O. Values from VASP.

Properties
* calculated total energy: -4.58 eV/atom
* space group: I4/mmm (139)
* M_tot: 0.0 μB per cell
* formation energy without anion corrections: -699 meV per atom
* mass density: 5.45 g/cm3

Structure (Quantum ESPRESSO input):
```
&SYSTEM
  ibrav = 0, nat = 7, ntyp = 3
/
ATOMIC_SPECIES
Mg 24.30 Mg.upf
O 16.00 O.upf
Pm 145.00 Pm.upf
CELL_PARAMETERS angstrom
-1.753 -4.135 -2.058
3.069 -2.688 2.787
-6.285 2.939 5.377
ATOMIC_POSITIONS crystal
Mg 0.636 0.636 0.272
Mg 0.364 0.364 0.728
O 0.000 0.000 0.000
Pm 0.843 0.843 0.686
Pm 0.157 0.157 0.314
Pm 0.000 0.500 0.000
Pm 0.500 0.000 0.000
```



[6]
The following is a DFT calculation (PBE) of an optimized crystal structure of Pm2PrMgO. Values from VASP.

Properties
* calculated total energy: -5.35 eV/atom
* space group: P4/mmm (123)
* M_tot: 0.0 μB per cell
* formation energy without anion corrections: -1179 meV per atom
* mass density: 6.22 g/cm3

Structure (Quantum ESPRESSO input):
```
&SYSTEM
  ibrav = 0, nat = 5, ntyp = 4
/
ATOMIC_SPECIES
Pm 145.00 Pm.upf
Pr 140.91 Pr.upf
Mg 24.30 Mg.upf
O 16.00 O.upf
CELL_PARAMETERS angstrom
-3.208 -1.479 -3.661
2.479 -4.288 -0.440
-2.958 -2.061 3.425
ATOMIC_POSITIONS crystal
Pm 0.000 0.000 0.500
Pm 0.000 0.500 0.000
Pr 0.500 0.000 0.000
Mg 0.500 0.500 0.500
O 0.000 0.000 0.000
```



[7]
The following is a DFT calculation (PBE) of an optimized crystal structure of Pm2MgPtO6. Values from VASP.

Properties
* calculated total energy: -7.15 eV/atom
* space group: P2_1/c (14)
* M_tot: 0.0 μB per cell
* formation energy without anion corrections: -2463 meV per atom
* mass density: 8.11 g/cm3

Structure (Quantum ESPRESSO input):
```
&SYSTEM
  ibrav = 0, nat = 20, ntyp = 4
/
ATOMIC_SPECIES
Pm 145.00 Pm.upf
Mg 24.30 Mg.upf
Pt 195.08 Pt.upf
O 16.00 O.upf
CELL_PARAMETERS angstrom
-5.239 1.196 1.030
0.969 -0.624 5.652
1.885 7.606 0.516
ATOMIC_POSITIONS crystal
Pm 0.018 0.934 0.251
Pm 0.518 0.566 0.751
Pm 0.982 0.066 0.749
Pm 0.482 0.434 0.249
Mg 0.500 0.000 0.000
Mg 0.000 0.500 0.500
Pt 0.500 0.000 0.500
Pt 0.000 0.500 0.000
O 0.303 0.699 0.054
O 0.803 0.801 0.554
O 0.697 0.301 0.946
O 0.197 0.199 0.446
O 0.308 0.702 0.445
O 0.808 0.798 0.945
O 0.692 0.298 0.555
O 0.192 0.202 0.055
O 0.894 0.536 0.248
O 0.394 0.964 0.748
O 0.106 0.464 0.752
O 0.606 0.036 0.252
```



[8]
The following is a DFT calculation (PBE) of an optimized crystal structure of PmMgPtO6. Values from VASP.

Properties
* calculated total energy: -6.15 eV/atom
* space group: P-31c (163)
* M_tot: 0.0 μB per cell
* formation energy without anion corrections: -1470 meV per atom
* mass density: 6.78 g/cm3

Structure (Quantum ESPRESSO input):
```
&SYSTEM
  ibrav = 0, nat = 18, ntyp = 4
/
ATOMIC_SPECIES
Pm 145.00 Pm.upf
Mg 24.30 Mg.upf
Pt 195.08 Pt.upf
O 16.00 O.upf
CELL_PARAMETERS angstrom
-2.242 -4.809 -1.730
5.174 1.389 -1.565
3.077 -3.860 6.747
ATOMIC_POSITIONS crystal
Pm 0.333 0.667 0.250
Pm 0.667 0.333 0.750
Mg 0.000 0.000 0.000
Mg 0.000 0.000 0.500
Pt 0.667 0.333 0.250
Pt 0.333 0.667 0.750
O 0.687 0.635 0.118
O 0.949 0.313 0.118
O 0.313 0.949 0.618
O 0.051 0.687 0.882
O 0.365 0.313 0.382
O 0.949 0.635 0.382
O 0.635 0.949 0.882
O 0.687 0.051 0.382
O 0.051 0.365 0.618
O 0.365 0.051 0.118
O 0.635 0.687 0.618
O 0.313 0.365 0.882
```



[9]
The following is a DFT calculation (PBE) of an optimized crystal structure of PmMgReO6. Values from VASP.

Properties
* calculated total energy: -7.76 eV/atom
* space group: P312 (149)
* M_tot: 0.0 μB per cell
* formation energy without anion corrections: -2370 meV per atom
* mass density: 6.31 g/cm3

Structure (Quantum ESPRESSO input):
```
&SYSTEM
  ibrav = 0, nat = 9, ntyp = 4
/
ATOMIC_SPECIES
Pm 145.00 Pm.upf
Mg 24.30 Mg.upf
Re 186.21 Re.upf
O 16.00 O.upf
CELL_PARAMETERS angstrom
5.231 0.000 0.000
2.616 4.531 0.000
0.000 0.000 5.013
ATOMIC_POSITIONS crystal
Pm 0.000 0.000 0.000
Mg 0.667 0.667 0.500
Re 0.333 0.333 0.500
O 0.026 0.350 0.285
O 0.350 0.026 0.715
O 0.624 0.350 0.715
O 0.026 0.624 0.715
O 0.350 0.624 0.285
O 0.624 0.026 0.285
```



[10]
The following is a DFT calculation (PBE) of an optimized crystal structure of PmMg2ReO8. Values from VASP.

Properties
* calculated total energy: -7.08 eV/atom
* space group: P2/m (10)
* M_tot: 0.0 μB per cell
* formation energy without anion corrections: -2078 meV per atom
* mass density: 5.69 g/cm3

Structure (Quantum ESPRESSO input):
```
&SYSTEM
  ibrav = 0, nat = 12, ntyp = 4
/
ATOMIC_SPECIES
Pm 145.00 Pm.upf
Mg 24.30 Mg.upf
Re 186.21 Re.upf
O 16.00 O.upf
CELL_PARAMETERS angstrom
-1.674 -0.510 -4.412
0.692 -4.561 0.408
-6.244 -0.729 2.454
ATOMIC_POSITIONS crystal
Pm 0.000 0.000 0.500
Mg 0.500 0.500 0.788
Mg 0.500 0.500 0.212
Re 0.000 0.000 0.000
O 0.176 0.793 0.210
O 0.701 0.729 0.000
O 0.824 0.207 0.210
O 0.824 0.207 0.790
O 0.299 0.271 0.000
O 0.176 0.793 0.790
O 0.585 0.644 0.500
O 0.415 0.356 0.500
```